# 1
DFT (PBE-GGA) results for a relaxed NaMg3Hg9 crystal.

```
NaMg3Hg9
1.0
3.127 -7.259 0.000
3.127 7.259 0.000
-3.022 0.000 7.025
Na Mg Hg
1 3 9
Cartesian
0.000 0.000 0.000 Na
-1.511 0.000 3.512 Mg
1.564 3.630 0.000 Mg
1.564 -3.630 0.000 Mg
0.064 4.810 4.734 Hg
-0.068 1.588 5.517 Hg
3.169 4.810 2.291 Hg
-0.068 -1.588 5.517 Hg
1.616 0.000 3.512 Hg
3.301 1.588 1.508 Hg
0.064 -4.810 4.734 Hg
3.301 -1.588 1.508 Hg
3.169 -4.810 2.291 Hg
```

Properties
space group = No. 12
calculated formation energy = -118 meV/atom

=====

# 2
DFT (PBE-GGA) results for a relaxed Y2SnHRu crystal.

```
Y2SnHRu
1.0
4.984 0.000 0.000
0.000 4.984 0.000
0.000 0.000 3.792
Y Sn H Ru
2 1 1 1
Cartesian
0.000 2.492 0.000 Y
2.492 0.000 0.000 Y
0.000 0.000 1.896 Sn
2.492 2.492 0.000 H
2.492 2.492 1.896 Ru
```

Properties
final energy = -0.23570 Ha/atom
space group = No. 123

=====

# 3
DFT (PBE-GGA) results for a relaxed Sr12BiPd6 crystal.

```
Sr12BiPd6
1.0
-5.504 5.504 5.504
5.504 -5.504 5.504
5.504 5.504 -5.504
Sr Bi Pd
12 1 6
Cartesian
5.504 3.511 -2.101 Sr
3.403 0.000 1.993 Sr
7.605 0.000 1.993 Sr
1.993 3.403 0.000 Sr
3.511 -2.101 5.504 Sr
0.000 1.993 3.403 Sr
5.504 3.511 2.101 Sr
1.993 7.605 0.000 Sr
3.511 2.101 5.504 Sr
-2.101 5.504 3.511 Sr
2.101 5.504 3.511 Sr
0.000 1.993 7.605 Sr
0.000 0.000 0.000 Bi
5.504 1.359 0.000 Pd
5.504 0.000 4.145 Pd
4.145 5.504 0.000 Pd
1.359 0.000 5.504 Pd
0.000 5.504 1.359 Pd
0.000 4.145 5.504 Pd
```

Properties
space group = No. 204
calculated formation energy = -504 meV/atom

=====

# 4
DFT (PBE-GGA) results for a relaxed Th3Fe2Os7 crystal.

```
Th3Fe2Os7
1.0
2.672 1.543 8.736
-2.672 1.543 8.736
0.000 -3.085 8.736
Th Fe Os
3 2 7
Cartesian
0.000 0.000 0.000 Th
0.000 0.000 3.690 Th
0.000 0.000 22.519 Th
0.000 0.000 8.798 Fe
0.000 0.000 17.410 Fe
-1.352 -0.781 10.802 Os
0.000 -1.562 15.407 Os
-1.352 0.781 15.407 Os
0.000 0.000 13.104 Os
1.352 -0.781 10.802 Os
0.000 1.562 10.802 Os
1.352 0.781 15.407 Os
```

Properties
space group = No. 166
calculated formation energy = -163 meV/atom

=====

# 5
DFT (PBE-GGA) results for a relaxed B2C crystal.

```
B2C
1.0
5.671 -1.321 0.000
5.671 1.321 0.000
-1.243 0.000 5.400
B C
8 4
Cartesian
0.318 0.000 0.827 B
2.932 0.000 0.544 B
2.763 0.000 2.674 B
2.783 0.000 4.573 B
7.316 0.000 0.826 B
7.336 0.000 2.726 B
7.167 0.000 4.856 B
9.782 0.000 4.572 B
-0.405 0.000 3.457 C
4.002 0.000 1.752 C
6.097 0.000 3.647 C
10.504 0.000 1.942 C
```

Properties
energy relative to the lowest polymorph listed for this composition = 302 meV per atom
space group = No. 12
calculated formation energy = 487 meV/atom

=====

# 6
DFT (PBE-GGA) results for a relaxed Ca3TbPm2Te6 crystal.

```
Ca3TbPm2Te6
1.0
3.838 -6.640 0.000
3.838 6.640 0.000
-2.561 0.000 7.412
Ca Tb Pm Te
3 1 2 6
Cartesian
0.000 0.000 0.000 Ca
3.838 2.242 0.000 Ca
3.838 -2.242 0.000 Ca
2.558 0.000 3.706 Tb
2.558 4.440 3.706 Pm
2.558 -4.440 3.706 Pm
1.300 2.182 1.852 Te
0.040 0.000 5.574 Te
1.300 -2.182 1.852 Te
3.816 2.182 5.560 Te
5.075 0.000 1.838 Te
3.816 -2.182 5.560 Te
```

Properties
space group = No. 12
formation energy (no corrections) = -1494 meV per atom

=====

# 7
DFT (PBE-GGA) results for a relaxed CrIr2 crystal.

```
CrIr2
1.0
-1.344 1.780 9.442
1.344 -1.780 9.442
1.344 1.780 -9.442
Cr Ir
2 4
Cartesian
0.000 0.890 2.263 Cr
1.344 0.890 7.180 Cr
1.344 0.890 -3.618 Ir
1.344 0.890 -0.973 Ir
0.000 0.890 10.415 Ir
0.000 0.890 13.060 Ir
```

Properties
space group = No. 74
calculated formation energy = 153 meV/atom

=====

# 8
DFT (PBE-GGA) results for a relaxed Th2MgCd3 crystal.

```
Th2MgCd3
1.0
-1.729 2.675 8.751
1.729 -2.675 8.751
1.729 2.675 -8.751
Th Mg Cd
2 1 3
Cartesian
0.000 0.000 0.000 Th
0.000 2.675 4.963 Th
0.000 0.000 10.688 Mg
1.729 0.000 2.963 Cd
1.729 0.000 5.771 Cd
0.000 0.000 7.931 Cd
```

Properties
energy relative to the lowest polymorph listed for this composition = 121 meV per atom
space group = No. 44
calculated formation energy = -8 meV/atom

=====

no.,magnetic moment (μB per formula unit),ρ (g cm⁻³)
1,0.00,9.90
2,0.00,7.03
3,0.00,4.73
4,4.31,16.44
5,0.00,2.76
6,0.00,5.87
7,1.03,16.04
8,0.00,8.47